1.
A geometry-optimized Sm2YEr3Se6 structure, computed with PBE.

Unit cell a=17.8824 b=4.0662 c=8.2440 alpha=90.00 beta=104.22 gamma=90.00
Last column: nearest neighbours and their distance in Å.
Space group C2/m (No. 12)
One atom of each set of equivalent atoms:
Sm1 0.1680 0.0000 0.3355 x4  6 Se 2.93-2.97
Y1 0.0000 0.5000 0.0000 x2  6 Se 2.89-2.91
Er1 0.0000 0.5000 0.5000 x2  6 Se 2.83-2.88
Er2 0.1687 0.0000 0.8328 x4  6 Se 2.84-2.87
Se1 0.0031 0.0000 0.7484 x4  3 Er 2.87-2.88, 2 Y 2.91, 1 Sm 2.97
Se2 0.1631 0.5000 0.5903 x4  3 Er 2.83-2.84, 3 Sm 2.93-2.94
Se3 0.1667 0.5000 0.0744 x4  3 Er 2.85, 1 Y 2.89, 2 Sm 2.96

Computed properties:
E_form (uncorrected): -1750 meV per atom

---

2.
A geometry-optimized PuZr2Ta structure, computed with PBE.

Unit cell a=7.0294 b=7.0294 c=7.0294 alpha=90.00 beta=90.00 gamma=90.00
Last column: nearest neighbours and their distance in Å.
Space group Fm-3m (No. 225)
One atom of each set of equivalent atoms:
Pu1 0.0000 0.0000 0.0000 x4  8 Zr 3.04
Zr1 0.2500 0.2500 0.2500 x8  4 Ta 3.04, 4 Pu 3.04
Ta1 0.0000 0.0000 0.5000 x4  8 Zr 3.04

Computed properties:
Polymorph energy (0 for the lowest one): 27.9 meV per atom
Formation energy from the elements: 4.70 kcal/mol of atoms

---

3.
A geometry-optimized LiTl2Cl structure, computed with PBE.

Unit cell a=6.1522 b=11.4932 c=4.1054 alpha=90.00 beta=129.72 gamma=90.00
Last column: nearest neighbours and their distance in Å.
Space group C2/m (No. 12)
One atom of each set of equivalent atoms:
Li1 0.0000 0.0000 0.0000 x2  4 Cl 3.08-3.19, 4 Tl 3.29
Tl1 0.2500 0.2500 0.5000 x4  4 Tl 3.08-3.19, 2 Li 3.29, 2 Cl 3.29
Cl1 0.0000 0.5000 0.0000 x2  4 Li 3.08-3.19, 4 Tl 3.29

Computed properties:
Polymorph energy (0 for the lowest one): 263.5 meV per atom
E_form (uncorrected): -479 meV per atom

---

4.
A geometry-optimized Hf2IrO structure, computed with PBE.

Unit cell a=5.4742 b=5.4742 c=10.2075 alpha=90.00 beta=90.00 gamma=90.00
Last column: nearest neighbours and their distance in Å.
Space group I-42d (No. 122)
One atom of each set of equivalent atoms:
Hf1 0.1778 0.2500 0.1250 x8  2 O 2.11
Ir1 0.0000 0.0000 0.5000 x4  4 Hf 2.57
O1 0.0000 0.0000 0.0000 x4  4 Hf 2.11

Computed properties:
E_form (uncorrected): -1376 meV per atom

---

5.
A geometry-optimized Na2LiPmF6 structure, computed with PBE.

Unit cell a=5.7464 b=5.7464 c=15.0678 alpha=90.00 beta=90.00 gamma=120.00
Last column: nearest neighbours and their distance in Å.
Space group R3 (No. 146, hexagonal axes)
One atom of each set of equivalent atoms:
Na1 0.0000 0.0000 0.0000 x3  6 F 2.26-2.42
Na2 0.0000 0.0000 0.4980 x3  6 F 2.30-2.41
Li1 0.0000 0.0000 0.7095 x3  6 F 2.15-2.19
Pm1 0.0000 0.0000 0.2139 x3  6 F 2.24-2.31
F1 0.0513 0.3497 0.7789 x9  1 Li 2.15, 1 Na 2.30, 1 Pm 2.31
F2 0.0527 0.6816 0.2808 x9  1 Li 2.19, 1 Pm 2.24, 2 Na 2.26-2.41

Computed properties:
E_form (uncorrected): -3260 meV per atom

---

6.
A geometry-optimized RbPm2GeO5 structure, computed with PBE.

Unit cell a=6.8605 b=6.8605 c=11.7789 alpha=90.00 beta=90.00 gamma=90.00
Last column: nearest neighbours and their distance in Å.
Space group I4/mcm (No. 140)
One atom of each set of equivalent atoms:
Rb1 0.0000 0.0000 0.2500 x4  10 O 2.94-3.04
Pm1 0.1787 0.3213 0.0000 x8  4 O 2.34-2.52
Ge1 0.0000 0.5000 0.2500 x4  4 O 1.96
O1 0.0000 0.0000 0.0000 x4  4 Pm 2.52
O2 0.1349 0.3651 0.3739 x16  1 Ge 1.96

Computed properties:
E_form (uncorrected): -2353 meV per atom

---

7.
A geometry-optimized AlNi2Te structure, computed with PBE.

Unit cell a=3.4765 b=3.4765 c=5.0978 alpha=90.00 beta=90.00 gamma=90.00
Last column: nearest neighbours and their distance in Å.
Space group P4mm (No. 99)
One atom of each set of equivalent atoms:
Al1 0.0000 0.0000 0.0000 x1  6 Ni 2.41-2.69
Ni1 0.0000 0.0000 0.4728 x1  2 Al 2.41-2.69, 4 Te 2.62
Ni2 0.5000 0.5000 0.1524 x1  2 Te 2.53-2.57, 4 Al 2.58
Te1 0.5000 0.5000 0.6486 x1  6 Ni 2.53-2.62

Computed properties:
Polymorph energy (0 for the lowest one): 40.6 meV per atom
E_form (uncorrected): -120 meV per atom

---

8.
A geometry-optimized LiSmAg structure, computed with PBE.

Unit cell a=4.7196 b=4.7196 c=3.5616 alpha=90.00 beta=90.00 gamma=120.00
Last column: nearest neighbours and their distance in Å.
Space group P-6m2 (No. 187)
One atom of each set of equivalent atoms:
Li1 0.0000 0.0000 0.0000 x1  3 Ag 2.72
Sm1 0.3333 0.6667 0.5000 x1  6 Li 3.26, 6 Ag 3.26, 2 Sm 3.56
Ag1 0.6667 0.3333 0.0000 x1  3 Li 2.72

Computed properties:
Polymorph energy (0 for the lowest one): 44.0 meV per atom
Formation energy from the elements: -2.89 kcal/mol of atoms

---

9.
A geometry-optimized EuO3 structure, computed with PBE.

Unit cell a=3.2089 b=4.8710 c=6.6763 alpha=90.00 beta=90.00 gamma=90.00
Last column: nearest neighbours and their distance in Å.
Space group Pmc2_1 (No. 26)
One atom of each set of equivalent atoms:
Eu1 0.0000 0.1000 0.0000 x2  8 O 2.36-2.61
O1 0.0000 0.4225 0.5888 x2  2 O 1.73
O2 0.5000 0.0176 0.2553 x2  4 Eu 2.36-2.38
O3 0.5000 0.4787 0.5025 x2  2 O 1.73

Computed properties:
Polymorph energy (0 for the lowest one): 0.0 meV per atom
E_form (uncorrected): -1194 meV per atom

---

10.
A geometry-optimized TiSiI2O structure, computed with PBE.

Unit cell a=5.7114 b=5.7114 c=3.7414 alpha=90.00 beta=90.00 gamma=90.00
Last column: nearest neighbours and their distance in Å.
Space group P4/mmm (No. 123)
One atom of each set of equivalent atoms:
Ti1 0.0000 0.0000 0.0000 x1  2 O 1.87
Si1 0.5000 0.5000 0.5000 x1  8 I 3.41, 2 Si 3.74
I1 0.0000 0.5000 0.0000 x2  2 Ti 2.86
O1 0.0000 0.0000 0.5000 x1  2 Ti 1.87

Computed properties:
Polymorph energy (0 for the lowest one): 0.0 meV per atom
E_form (uncorrected): -552 meV per atom

---

11.
A geometry-optimized AlGeS2N structure, computed with PBE.

Unit cell a=4.7925 b=4.7925 c=3.7033 alpha=90.00 beta=90.00 gamma=90.00
Last column: nearest neighbours and their distance in Å.
Space group P4/mmm (No. 123)
One atom of each set of equivalent atoms:
Al1 0.0000 0.0000 0.0000 x1  2 N 1.85
Ge1 0.5000 0.5000 0.5000 x1  8 S 3.03, 4 N 3.39
S1 0.0000 0.5000 0.0000 x2  2 Al 2.40
N1 0.0000 0.0000 0.5000 x1  2 Al 1.85

Computed properties:
Polymorph energy (0 for the lowest one): 0.0 meV per atom
E_form (uncorrected): 200 meV per atom

---

12.
A geometry-optimized NbVCr4 structure, computed with PBE.

Unit cell a=6.8388 b=6.8388 c=6.8388 alpha=90.00 beta=90.00 gamma=90.00
Last column: nearest neighbours and their distance in Å.
Space group F-43m (No. 216)
One atom of each set of equivalent atoms:
Nb1 0.0000 0.0000 0.0000 x4  12 Cr 2.84, 4 V 2.96
V1 0.2500 0.2500 0.2500 x4  12 Cr 2.83, 4 Nb 2.96
Cr1 0.1248 0.1248 0.6248 x16  6 Cr 2.41-2.42

Computed properties:
Formation energy from the elements: -0.14 kcal/mol of atoms

---

13.
A geometry-optimized MgFeHgI2 structure, computed with PBE.

Unit cell a=5.7284 b=5.7284 c=5.6855 alpha=90.00 beta=90.00 gamma=90.00
Last column: nearest neighbours and their distance in Å.
Space group P4/mmm (No. 123)
One atom of each set of equivalent atoms:
Mg1 0.0000 0.0000 0.0000 x1  2 Hg 2.84, 4 I 2.86
Fe1 0.5000 0.5000 0.5000 x1  8 I 4.04, 4 Hg 4.05
Hg1 0.0000 0.0000 0.5000 x1  2 Mg 2.84
I1 0.0000 0.5000 0.0000 x2  2 Mg 2.86

Computed properties:
Polymorph energy (0 for the lowest one): 252.6 meV per atom
E_form (uncorrected): 426 meV per atom

---

14.
A geometry-optimized DyGa2Ru structure, computed with PBE.

Unit cell a=3.2027 b=3.2027 c=6.9359 alpha=90.00 beta=90.00 gamma=90.00
Last column: nearest neighbours and their distance in Å.
Space group P4/mmm (No. 123)
One atom of each set of equivalent atoms:
Dy1 0.0000 0.0000 0.0000 x1  8 Ga 3.09, 4 Dy 3.20
Ga1 0.5000 0.5000 0.3028 x2  4 Ru 2.65, 1 Ga 2.74
Ru1 0.0000 0.0000 0.5000 x1  8 Ga 2.65

Computed properties:
Formation energy from the elements: -9.88 kcal/mol of atoms

---

15.
A geometry-optimized Cr2CdRh structure, computed with PBE.

Unit cell a=4.4086 b=4.4086 c=3.2718 alpha=90.00 beta=90.00 gamma=90.00
Last column: nearest neighbours and their distance in Å.
Space group P4/mmm (No. 123)
One atom of each set of equivalent atoms:
Cr1 0.0000 0.5000 0.0000 x2  4 Cd 2.75, 4 Rh 2.75
Cd1 0.0000 0.0000 0.5000 x1  8 Cr 2.75
Rh1 0.5000 0.5000 0.5000 x1  8 Cr 2.75

Computed properties:
Formation energy from the elements: 9.07 kcal/mol of atoms

---

16.
A geometry-optimized GaPtSCl2 structure, computed with PBE.

Unit cell a=5.1245 b=5.1245 c=4.5398 alpha=90.00 beta=90.00 gamma=90.00
Last column: nearest neighbours and their distance in Å.
Space group P4/mmm (No. 123)
One atom of each set of equivalent atoms:
Ga1 0.0000 0.0000 0.0000 x1  8 Cl 3.42, 4 S 3.62
Pt1 0.5000 0.5000 0.5000 x1  2 S 2.27
S1 0.5000 0.5000 0.0000 x1  2 Pt 2.27
Cl1 0.0000 0.5000 0.5000 x2  2 Pt 2.56

Computed properties:
Polymorph energy (0 for the lowest one): 0.0 meV per atom
E_form (uncorrected): -123 meV per atom

---

17.
A geometry-optimized Pr3BiH2 structure, computed with PBE.

Unit cell a=23.1931 b=4.1849 c=6.5176 alpha=90.00 beta=104.24 gamma=90.00
Last column: nearest neighbours and their distance in Å.
Space group C2/m (No. 12)
One atom of each set of equivalent atoms:
Pr1 0.0402 0.0000 0.2815 x4  2 H 2.38-2.41
Pr2 0.1009 0.5000 0.8528 x4  3 H 2.42-2.46
Pr3 0.2298 0.0000 0.2122 x4  3 H 2.33-2.43
Bi1 0.1502 0.5000 0.4090 x4  1 H 3.15, 7 Pr 3.23-3.52
H1 0.0589 0.0000 0.9334 x4  4 Pr 2.38-2.42
H2 0.2082 0.5000 0.0205 x4  4 Pr 2.33-2.46

---

18.
A geometry-optimized MnGe2Rh2 structure, computed with PBE.

Unit cell a=7.2408 b=7.2408 c=2.8807 alpha=90.00 beta=90.00 gamma=90.00
Last column: nearest neighbours and their distance in Å.
Space group P4/mbm (No. 127)
One atom of each set of equivalent atoms:
Mn1 0.0000 0.0000 0.0000 x2  4 Rh 2.79, 2 Mn 2.88, 8 Ge 3.09
Ge1 0.1574 0.3426 0.5000 x4  6 Rh 2.51-2.60
Rh1 0.1418 0.6418 0.0000 x4  6 Ge 2.51-2.60, 2 Mn 2.79

Computed properties:
Formation energy from the elements: -5.73 kcal/mol of atoms

---

19.
A geometry-optimized Ti3PtC structure, computed with PBE.

Unit cell a=3.8788 b=3.8788 c=13.9403 alpha=90.00 beta=90.00 gamma=120.00
Last column: nearest neighbours and their distance in Å.
Space group P6_3/mmc (No. 194)
One atom of each set of equivalent atoms:
Ti1 0.0000 0.0000 0.2500 x2  3 Pt 2.24
Ti2 0.3333 0.6667 0.0620 x4  3 C 2.40, 1 Pt 2.62
Pt1 0.3333 0.6667 0.2500 x2  3 Ti 2.24
C1 0.0000 0.0000 0.0000 x2  6 Ti 2.40

Computed properties:
Polymorph energy (0 for the lowest one): 1078.8 meV per atom
Formation energy from the elements: 5.86 kcal/mol of atoms

---

20.
A geometry-optimized KCd4Ga5S12 structure, computed with PBE.

Unit cell a=8.5987 b=8.6227 c=8.9565 alpha=108.67 beta=106.48 gamma=108.39
Last column: nearest neighbours and their distance in Å.
Space group P1 (No. 1)
One atom of each set of equivalent atoms:
K1 0.0000 0.0000 0.0000 x1  7 S 3.38-3.73
Cd1 0.4042 0.6412 0.6951 x1  4 S 2.51-2.61
Cd2 0.4915 0.3298 0.9068 x1  4 S 2.50-2.63
Cd3 0.6192 0.6944 0.3744 x1  4 S 2.54-2.60
Cd4 0.7154 0.3977 0.6112 x1  4 S 2.49-2.59
Ga1 0.0180 0.1738 0.5258 x1  4 S 2.30-2.32
Ga2 0.1813 0.5392 0.9978 x1  4 S 2.25-2.39
Ga3 0.3159 0.9216 0.4400 x1  4 S 2.26-2.36
Ga4 0.5561 0.0135 0.1657 x1  4 S 2.30-2.34
Ga5 0.9340 0.4616 0.3055 x1  4 S 2.25-2.39
S1 0.0657 0.6616 0.1958 x1  3 Ga 2.36-2.39
S2 0.1415 0.3633 0.4162 x1  2 Ga 2.30-2.32
S3 0.2089 0.0566 0.6300 x1  2 Ga 2.32
S4 0.2947 0.7737 0.9275 x1  2 Ga 2.31-2.32
S5 0.3474 0.4161 0.1139 x1  1 Ga 2.25
S6 0.4295 0.1301 0.3400 x1  2 Ga 2.30-2.33
S7 0.5385 0.8782 0.5996 x1  1 Ga 2.26
S8 0.6574 0.5824 0.8479 x1  3 Cd 2.49-2.51
S9 0.6961 0.2055 0.0608 x1  2 Ga 2.32-2.34
S10 0.7741 0.9292 0.2760 x1  2 Ga 2.30-2.32
S11 0.8729 0.6241 0.5141 x1  1 Ga 2.25
S12 0.9388 0.2863 0.7497 x1  2 Ga 2.32-2.33, 1 Cd 2.59

Computed properties:
E_form (uncorrected): -742 meV per atom

---

Number 1: D(E_F) 0.451 states/eV/atom, E -5.9578 eV per atom. Number 2: D(E_F) 2.911 states/eV/atom, E -10.6162 eV per atom. Number 3: D(E_F) 0.325 states/eV/atom, E -2.6020 eV per atom. Number 4: D(E_F) 0.371 states/eV/atom, E -9.8072 eV per atom. Number 5: D(E_F) 0.000 states/eV/atom, E -5.3131 eV per atom. Number 6: D(E_F) 0.292 states/eV/atom, E -6.7838 eV per atom. Number 7: D(E_F) 0.465 states/eV/atom, E -4.7320 eV per atom. Number 8: D(E_F) 0.942 states/eV/atom, E -3.2868 eV per atom. Number 9: D(E_F) 0.801 states/eV/atom, E -7.4808 eV per atom. Number 10: D(E_F) 0.582 states/eV/atom, E -4.8271 eV per atom. Number 11: D(E_F) 0.356 states/eV/atom, E -4.7876 eV per atom. Number 12: D(E_F) 1.022 states/eV/atom, E -9.6197 eV per atom. Number 13: D(E_F) 1.285 states/eV/atom, E -2.2654 eV per atom. Number 14: D(E_F) 0.572 states/eV/atom, E -5.4112 eV per atom. Number 15: D(E_F) 0.938 states/eV/atom, E -6.4849 eV per atom. Number 16: D(E_F) 0.736 states/eV/atom, E -3.5005 eV per atom. Number 17: D(E_F) 0.687 states/eV/atom, E -4.6679 eV per atom. Number 18: D(E_F) 0.625 states/eV/atom, E -6.8701 eV per atom. Number 19: D(E_F) 0.145 states/eV/atom, E -7.5359 eV per atom. Number 20: D(E_F) 0.000 states/eV/atom, E -3.8971 eV per atom.